CeTc2: relaxed, GGA-PBE.

Lattice parameters (Å, degrees): 5.418 5.418 5.418 60.00 60.00 60.00
Atoms (fractional coordinates):
1 Ce 0.125 0.125 0.125
2 Ce 0.875 0.875 0.875
3 Tc 0.000 0.500 0.500
4 Tc 0.500 0.000 0.500
5 Tc 0.500 0.500 0.000
6 Tc 0.500 0.500 0.500

Results
Excess energy over the best structure of this formula in the dataset in kcal/mol of atoms: 1.27
M_tot in μB per formula unit: 0.001
V in Å³ per atom: 18.7
Total DFT energy (no corrections) in eV per atom: -8.944
Calculated density in g/cm³: 9.92
ΔE_f in meV per atom: -55.7